# Na2SrV3O9, optimized geometry, DFT GGA-PBEsol
# Space-group type: P2_1/c (14)
data_Na2SrV3O9
_cell_length_a 5.390
_cell_length_b 10.037
_cell_length_c 14.860
_cell_angle_alpha 90.00
_cell_angle_beta 90.00
_cell_angle_gamma 97.53
_symmetry_space_group_name_H-M 'P 1'
_symmetry_Int_Tables_number 1
_symmetry_space_group_name_Hall 'P 1'
loop_
_atom_site_label
_atom_site_type_symbol
_atom_site_fract_x
_atom_site_fract_y
_atom_site_fract_z
_atom_site_occupancy
Sr1 Sr 0.741 0.471 0.886 1
Sr2 Sr 0.741 0.971 0.614 1
Sr3 Sr 0.259 0.529 0.114 1
Sr4 Sr 0.259 0.029 0.386 1
O1 O 0.039 0.173 0.690 1
O2 O 0.810 0.913 0.782 1
O3 O 0.250 0.892 0.642 1
O4 O 0.822 0.871 0.062 1
O5 O 0.810 0.413 0.718 1
O6 O 0.756 0.224 0.849 1
O7 O 0.965 0.854 0.485 1
O8 O 0.039 0.673 0.810 1
O9 O 0.519 0.660 0.812 1
O10 O 0.250 0.392 0.858 1
O11 O 0.479 0.851 0.485 1
O12 O 0.521 0.649 0.985 1
O13 O 0.178 0.629 0.562 1
O14 O 0.244 0.276 0.349 1
O15 O 0.178 0.129 0.938 1
O16 O 0.347 0.376 0.589 1
O17 O 0.750 0.608 0.142 1
O18 O 0.521 0.149 0.515 1
O19 O 0.244 0.776 0.151 1
O20 O 0.479 0.351 0.015 1
O21 O 0.653 0.124 0.089 1
O22 O 0.190 0.587 0.282 1
O23 O 0.481 0.340 0.188 1
O24 O 0.961 0.327 0.190 1
O25 O 0.347 0.876 0.911 1
O26 O 0.822 0.371 0.438 1
O27 O 0.035 0.146 0.515 1
O28 O 0.035 0.646 0.985 1
O29 O 0.965 0.354 0.015 1
O30 O 0.750 0.108 0.358 1
O31 O 0.190 0.087 0.218 1
O32 O 0.481 0.840 0.312 1
O33 O 0.756 0.724 0.651 1
O34 O 0.653 0.624 0.411 1
O35 O 0.961 0.827 0.310 1
O36 O 0.519 0.160 0.688 1
V1 V 0.706 0.287 0.099 1
V2 V 0.792 0.704 0.049 1
V3 V 0.208 0.796 0.549 1
V4 V 0.789 0.747 0.762 1
V5 V 0.789 0.247 0.738 1
V6 V 0.208 0.296 0.951 1
V7 V 0.706 0.787 0.401 1
V8 V 0.294 0.213 0.599 1
V9 V 0.211 0.753 0.262 1
V10 V 0.792 0.204 0.451 1
V11 V 0.211 0.253 0.238 1
V12 V 0.294 0.713 0.901 1
Na1 Na 0.752 0.023 0.934 1
Na2 Na 0.763 0.471 0.291 1
Na3 Na 0.237 0.529 0.709 1
Na4 Na 0.763 0.971 0.209 1
Na5 Na 0.248 0.977 0.066 1
Na6 Na 0.248 0.477 0.434 1
Na7 Na 0.752 0.523 0.566 1
Na8 Na 0.237 0.029 0.791 1

# Na3TaO, optimized geometry, DFT GGA-PBEsol
# Space-group type: Pm-3m (221)
# Offset from the most stable computed form in meV/atom: 1245
data_Na3TaO
_cell_length_a 5.915
_cell_length_b 5.915
_cell_length_c 5.915
_cell_angle_alpha 90.00
_cell_angle_beta 90.00
_cell_angle_gamma 90.00
_symmetry_space_group_name_H-M 'P 1'
_symmetry_Int_Tables_number 1
_symmetry_space_group_name_Hall 'P 1'
loop_
_atom_site_label
_atom_site_type_symbol
_atom_site_fract_x
_atom_site_fract_y
_atom_site_fract_z
_atom_site_occupancy
Na1 Na 0.500 0.000 0.000 1
Na2 Na 0.000 0.500 0.000 1
Na3 Na 0.000 0.000 0.500 1
Ta1 Ta 0.000 0.000 0.000 1
O1 O 0.500 0.500 0.500 1

# Na3TaO, optimized geometry, DFT GGA-PBEsol
# Space-group type: Pm-3m (221)
# Offset from the most stable computed form in meV/atom: 0
data_Na3TaO
_cell_length_a 4.700
_cell_length_b 4.700
_cell_length_c 4.700
_cell_angle_alpha 90.00
_cell_angle_beta 90.00
_cell_angle_gamma 90.00
_symmetry_space_group_name_H-M 'P 1'
_symmetry_Int_Tables_number 1
_symmetry_space_group_name_Hall 'P 1'
loop_
_atom_site_label
_atom_site_type_symbol
_atom_site_fract_x
_atom_site_fract_y
_atom_site_fract_z
_atom_site_occupancy
Na1 Na 0.000 0.500 0.000 1
Na2 Na 0.500 0.000 0.000 1
Na3 Na 0.000 0.000 0.500 1
O1 O 0.000 0.000 0.000 1
Ta1 Ta 0.500 0.500 0.500 1

# Na8Ta7VO24, optimized geometry, DFT GGA-PBEsol
# Space-group type: Pm-3m (221)
data_Na8Ta7VO24
_cell_length_a 7.848
_cell_length_b 7.848
_cell_length_c 7.848
_cell_angle_alpha 90.00
_cell_angle_beta 90.00
_cell_angle_gamma 90.00
_symmetry_space_group_name_H-M 'P 1'
_symmetry_Int_Tables_number 1
_symmetry_space_group_name_Hall 'P 1'
loop_
_atom_site_label
_atom_site_type_symbol
_atom_site_fract_x
_atom_site_fract_y
_atom_site_fract_z
_atom_site_occupancy
Na1 Na 0.757 0.757 0.757 1
Na2 Na 0.757 0.243 0.757 1
Na3 Na 0.757 0.757 0.243 1
Na4 Na 0.243 0.243 0.757 1
Na5 Na 0.243 0.243 0.243 1
Na6 Na 0.243 0.757 0.757 1
Na7 Na 0.243 0.757 0.243 1
Na8 Na 0.757 0.243 0.243 1
O1 O 0.500 0.751 0.000 1
O2 O 0.249 0.000 0.500 1
O3 O 0.000 0.000 0.758 1
O4 O 0.000 0.758 0.000 1
O5 O 0.249 0.500 0.500 1
O6 O 0.242 0.000 0.000 1
O7 O 0.249 0.500 0.000 1
O8 O 0.500 0.249 0.000 1
O9 O 0.751 0.500 0.500 1
O10 O 0.000 0.000 0.242 1
O11 O 0.751 0.500 0.000 1
O12 O 0.000 0.751 0.500 1
O13 O 0.758 0.000 0.000 1
O14 O 0.500 0.000 0.751 1
O15 O 0.500 0.500 0.249 1
O16 O 0.000 0.500 0.751 1
O17 O 0.000 0.242 0.000 1
O18 O 0.500 0.000 0.249 1
O19 O 0.500 0.500 0.751 1
O20 O 0.000 0.249 0.500 1
O21 O 0.500 0.249 0.500 1
O22 O 0.500 0.751 0.500 1
O23 O 0.000 0.500 0.249 1
O24 O 0.751 0.000 0.500 1
Ta1 Ta 0.000 0.000 0.500 1
Ta2 Ta 0.500 0.000 0.500 1
Ta3 Ta 0.500 0.000 0.000 1
Ta4 Ta 0.000 0.500 0.000 1
Ta5 Ta 0.500 0.500 0.000 1
Ta6 Ta 0.500 0.500 0.500 1
Ta7 Ta 0.000 0.500 0.500 1
V1 V 0.000 0.000 0.000 1

# NaTaWO6, optimized geometry, DFT GGA-PBEsol
# Space-group type: Imma (74)
data_NaTaWO6
_cell_length_a 7.322
_cell_length_b 7.327
_cell_length_c 7.327
_cell_angle_alpha 60.07
_cell_angle_beta 60.03
_cell_angle_gamma 60.03
_symmetry_space_group_name_H-M 'P 1'
_symmetry_Int_Tables_number 1
_symmetry_space_group_name_Hall 'P 1'
loop_
_atom_site_label
_atom_site_type_symbol
_atom_site_fract_x
_atom_site_fract_y
_atom_site_fract_z
_atom_site_occupancy
O1 O 0.945 0.305 0.805 1
O2 O 0.064 0.060 0.184 1
O3 O 0.936 0.940 0.816 1
O4 O 0.693 0.060 0.184 1
O5 O 0.679 0.071 0.571 1
O6 O 0.055 0.695 0.195 1
O7 O 0.693 0.684 0.560 1
O8 O 0.064 0.684 0.560 1
O9 O 0.936 0.316 0.440 1
O10 O 0.307 0.940 0.816 1
O11 O 0.307 0.316 0.440 1
O12 O 0.321 0.929 0.429 1
Na1 Na 0.500 0.000 0.000 1
Na2 Na 0.500 0.500 0.500 1
W1 W 0.000 0.500 0.500 1
W2 W 0.000 0.000 0.000 1
Ta1 Ta 0.500 0.000 0.500 1
Ta2 Ta 0.000 0.000 0.500 1

# NaTbO2, optimized geometry, DFT GGA-PBEsol
# Space-group type: I4_1/amd (141)
data_NaTbO2
_cell_length_a 4.589
_cell_length_b 4.589
_cell_length_c 6.106
_cell_angle_alpha 112.07
_cell_angle_beta 112.07
_cell_angle_gamma 90.00
_symmetry_space_group_name_H-M 'P 1'
_symmetry_Int_Tables_number 1
_symmetry_space_group_name_Hall 'P 1'
loop_
_atom_site_label
_atom_site_type_symbol
_atom_site_fract_x
_atom_site_fract_y
_atom_site_fract_z
_atom_site_occupancy
Tb1 Tb 0.250 0.750 0.500 1
Tb2 Tb 0.000 0.000 0.000 1
Na1 Na 0.750 0.250 0.500 1
Na2 Na 0.500 0.500 0.000 1
O1 O 0.471 0.971 0.942 1
O2 O 0.221 0.221 0.442 1
O3 O 0.779 0.779 0.558 1
O4 O 0.029 0.529 0.058 1

Let's list total DFT energy (no corrections) in order: -7.8563, -2.5344, -3.7797, -8.4403, -8.9915, -7.0427 eV/atom.